1.
# Na2TaS | Alexandria via LeMat-Bulk | GGA-PBE | optimized geometry
data_Na2TaS
_chemical_formula_sum 'Na8 Ta4 S4'
_space_group_name_H-M_alt 'I -4 2 d'
_space_group_IT_number 122
_space_group_name_Hall 'I -4 2bw'
_cell_length_a 9.693
_cell_length_b 9.693
_cell_length_c 4.741
_cell_angle_alpha 90.00
_cell_angle_beta 90.00
_cell_angle_gamma 90.00
loop_
_atom_site_label
_atom_site_fract_x
_atom_site_fract_y
_atom_site_fract_z
Na1 0.137 0.250 0.125
Ta1 0.000 0.000 0.500
S1 0.000 0.000 0.000
# Uncorrected formation energy in eV per atom: 0.35
# Crystal system: tetragonal
# Total moment in μB/f.u.: 2.83


2.
# MnAsSe2 | Alexandria via LeMat-Bulk | GGA-PBE | optimized geometry
data_MnAsSe2
_chemical_formula_sum 'Mn1 As1 Se2'
_space_group_name_H-M_alt 'P 4/m m m'
_space_group_IT_number 123
_space_group_name_Hall '-P 4 2'
_cell_length_a 4.766
_cell_length_b 4.766
_cell_length_c 3.397
_cell_angle_alpha 90.00
_cell_angle_beta 90.00
_cell_angle_gamma 90.00
loop_
_atom_site_label
_atom_site_fract_x
_atom_site_fract_y
_atom_site_fract_z
Mn1 0.000 0.000 0.000
As1 0.500 0.500 0.000
Se1 0.000 0.500 0.500
# Uncorrected formation energy in eV per atom: 0.25
# Crystal system: tetragonal
# Total moment in μB/f.u.: 4.54


3.
# Ce2SiPIr6 | Alexandria via LeMat-Bulk | GGA-PBE | optimized geometry
data_Ce2SiPIr6
_chemical_formula_sum 'Ce4 Si2 P2 Ir12'
_space_group_name_H-M_alt 'P m m n'
_space_group_IT_number 59
_cell_length_a 5.514
_cell_length_b 8.527
_cell_length_c 7.817
_cell_angle_alpha 90.00
_cell_angle_beta 90.00
_cell_angle_gamma 90.00
loop_
_space_group_symop_operation_xyz
'x,y,z'
'-x,-y,-z'
'-x+1/2,-y+1/2,z'
'x+1/2,y+1/2,-z'
'x+1/2,-y,-z'
'-x+1/2,y,z'
'-x,y+1/2,-z'
'x,-y+1/2,z'
loop_
_atom_site_label
_atom_site_fract_x
_atom_site_fract_y
_atom_site_fract_z
Ce1 0.250 0.016 0.224
Si1 0.250 0.750 0.765
P1 0.250 0.250 0.747
Ir1 0.001 0.750 0.502
Ir2 0.007 0.750 0.019
Ir3 0.250 0.501 0.611
# Uncorrected formation energy in eV per atom: -0.64
# Crystal system: orthorhombic
# Total moment in μB/f.u.: 0.00


4.
# NdPuTe3 | Alexandria via LeMat-Bulk | GGA-PBE | optimized geometry
data_NdPuTe3
_chemical_formula_sum 'Nd4 Pu4 Te12'
_space_group_name_H-M_alt 'P n m a'
_space_group_IT_number 62
_space_group_name_Hall '-P 2ac 2n'
_cell_length_a 8.317
_cell_length_b 4.432
_cell_length_c 17.388
_cell_angle_alpha 90.00
_cell_angle_beta 90.00
_cell_angle_gamma 90.00
loop_
_atom_site_label
_atom_site_fract_x
_atom_site_fract_y
_atom_site_fract_z
Nd1 0.130 0.250 0.202
Pu1 0.227 0.750 0.461
Te1 0.003 0.250 0.391
Te2 0.121 0.750 0.065
Te3 0.158 0.250 0.785
# Uncorrected formation energy in eV per atom: -1.22
# Crystal system: orthorhombic
# Total moment in μB/f.u.: 5.00


5.
# Ba2LaMo2N6 | Alexandria via LeMat-Bulk | GGA-PBE | optimized geometry
data_Ba2LaMo2N6
_chemical_formula_sum 'Ba4 La2 Mo4 N12'
_space_group_name_H-M_alt 'C 1 2/m 1'
_space_group_IT_number 12
_space_group_name_Hall '-C 2y'
_cell_length_a 11.036
_cell_length_b 6.278
_cell_length_c 7.337
_cell_angle_alpha 90.00
_cell_angle_beta 121.65
_cell_angle_gamma 90.00
loop_
_atom_site_label
_atom_site_fract_x
_atom_site_fract_y
_atom_site_fract_z
Ba1 0.208 0.000 0.174
La1 0.000 0.000 0.500
Mo1 0.037 0.500 0.213
N1 0.058 0.260 0.790
N2 0.233 0.500 0.390
# Uncorrected formation energy in eV per atom: -0.68
# Crystal system: monoclinic
# Total moment in μB/f.u.: 1.05


6.
# La4RePb | Alexandria via LeMat-Bulk | GGA-PBE | optimized geometry
data_La4RePb
_chemical_formula_sum 'La16 Re4 Pb4'
_space_group_name_H-M_alt 'C 1 2/c 1'
_space_group_IT_number 15
_space_group_name_Hall '-C 2yc'
_cell_length_a 9.077
_cell_length_b 14.175
_cell_length_c 6.420
_cell_angle_alpha 90.00
_cell_angle_beta 110.19
_cell_angle_gamma 90.00
loop_
_atom_site_label
_atom_site_fract_x
_atom_site_fract_y
_atom_site_fract_z
La1 0.109 0.168 0.056
La2 0.222 0.427 0.370
Re1 0.000 0.001 0.750
Pb1 0.000 0.376 0.750
# Crystal system: monoclinic
# Energy relative to the elements in meV/atom: -224
# Total moment in μB/f.u.: 0.00


7.
# Li2LaCu | Alexandria via LeMat-Bulk | GGA-PBE | optimized geometry
data_Li2LaCu
_chemical_formula_sum 'Li4 La2 Cu2'
_space_group_name_H-M_alt 'I m m 2'
_space_group_IT_number 44
_space_group_name_Hall 'I 2 -2'
_cell_length_a 4.565
_cell_length_b 5.182
_cell_length_c 7.344
_cell_angle_alpha 90.00
_cell_angle_beta 90.00
_cell_angle_gamma 90.00
loop_
_atom_site_label
_atom_site_fract_x
_atom_site_fract_y
_atom_site_fract_z
Li1 0.000 0.000 0.000
Li2 0.000 0.500 0.269
La1 0.000 0.000 0.480
Cu1 0.000 0.500 0.701
# Crystal system: orthorhombic
# Energy relative to the elements in meV/atom: 69
# Total moment in μB/f.u.: 0.00


8.
# Ho3TmIr3 | Alexandria via LeMat-Bulk | GGA-PBE | optimized geometry
data_Ho3TmIr3
_chemical_formula_sum 'Ho12 Tm4 Ir12'
_space_group_name_H-M_alt 'C 1 2/m 1'
_space_group_IT_number 12
_space_group_name_Hall '-C 2y'
_cell_length_a 9.871
_cell_length_b 9.777
_cell_length_c 6.549
_cell_angle_alpha 90.00
_cell_angle_beta 90.03
_cell_angle_gamma 90.00
loop_
_atom_site_label
_atom_site_fract_x
_atom_site_fract_y
_atom_site_fract_z
Ho1 0.000 0.246 0.000
Ho2 0.000 0.249 0.500
Ho3 0.245 0.000 0.000
Tm1 0.240 0.000 0.500
Ir1 0.000 0.000 0.250
Ir2 0.250 0.250 0.252
# Crystal system: monoclinic
# Energy relative to the elements in meV/atom: -754
# Total moment in μB/f.u.: 0.00


9.
# Ca2TlBi2 | Alexandria via LeMat-Bulk | GGA-PBE | optimized geometry
data_Ca2TlBi2
_chemical_formula_sum 'Ca4 Tl2 Bi4'
_space_group_name_H-M_alt 'P 4/m b m'
_space_group_IT_number 127
_space_group_name_Hall '-P 4 2ab'
_cell_length_a 9.451
_cell_length_b 9.451
_cell_length_c 3.666
_cell_angle_alpha 90.00
_cell_angle_beta 90.00
_cell_angle_gamma 90.00
loop_
_atom_site_label
_atom_site_fract_x
_atom_site_fract_y
_atom_site_fract_z
Ca1 0.136 0.364 0.000
Tl1 0.000 0.000 0.000
Bi1 0.164 0.664 0.500
# Crystal system: tetragonal
# Energy relative to the elements in meV/atom: -550
# Total moment in μB/f.u.: 0.00


10.
# NaScReO6 | Alexandria via LeMat-Bulk | GGA-PBE | optimized geometry
data_NaScReO6
_chemical_formula_sum 'Na1 Sc1 Re1 O6'
_space_group_name_H-M_alt 'P 1'
_space_group_IT_number 1
_space_group_name_Hall 'P 1'
_cell_length_a 5.071
_cell_length_b 5.476
_cell_length_c 5.477
_cell_angle_alpha 119.61
_cell_angle_beta 93.09
_cell_angle_gamma 93.09
loop_
_atom_site_label
_atom_site_fract_x
_atom_site_fract_y
_atom_site_fract_z
Na1 0.000 0.000 0.000
Sc1 0.499 0.687 0.315
Re1 0.500 0.323 0.679
O1 0.277 0.353 0.944
O2 0.286 0.017 0.376
O3 0.311 0.577 0.589
O4 0.688 0.413 0.425
O5 0.713 0.626 0.985
O6 0.722 0.058 0.649
# Uncorrected formation energy in eV per atom: -1.93
# Crystal system: triclinic
# Total moment in μB/f.u.: 1.02


11.
# KHfS2N | Alexandria via LeMat-Bulk | GGA-PBE | optimized geometry
data_KHfS2N
_chemical_formula_sum 'K1 Hf1 S2 N1'
_space_group_name_H-M_alt 'P 4/m m m'
_space_group_IT_number 123
_space_group_name_Hall '-P 4 2'
_cell_length_a 5.068
_cell_length_b 5.068
_cell_length_c 4.286
_cell_angle_alpha 90.00
_cell_angle_beta 90.00
_cell_angle_gamma 90.00
loop_
_atom_site_label
_atom_site_fract_x
_atom_site_fract_y
_atom_site_fract_z
K1 0.000 0.000 0.000
Hf1 0.500 0.500 0.500
S1 0.000 0.500 0.500
N1 0.500 0.500 0.000
# Uncorrected formation energy in eV per atom: -0.74
# Crystal system: tetragonal
# Total moment in μB/f.u.: 1.91


12.
# Pm2Nd3Sm6 | Alexandria via LeMat-Bulk | GGA-PBE | optimized geometry
data_Pm2Nd3Sm6
_chemical_formula_sum 'Pm4 Nd6 Sm12'
_space_group_name_H-M_alt 'C 1 2/m 1'
_space_group_IT_number 12
_space_group_name_Hall '-C 2y'
_cell_length_a 5.951
_cell_length_b 11.683
_cell_length_c 11.229
_cell_angle_alpha 90.00
_cell_angle_beta 97.73
_cell_angle_gamma 90.00
loop_
_atom_site_label
_atom_site_fract_x
_atom_site_fract_y
_atom_site_fract_z
Pm1 0.000 0.141 0.000
Nd1 0.000 0.180 0.500
Nd2 0.000 0.500 0.500
Sm1 0.060 0.343 0.214
Sm2 0.079 0.000 0.268
# Crystal system: monoclinic
# Energy relative to the elements in meV/atom: 152
# Total moment in μB/f.u.: 0.00


Repeat the tenth record exactly.
# NaScReO6 | Alexandria via LeMat-Bulk | GGA-PBE | optimized geometry
data_NaScReO6
_chemical_formula_sum 'Na1 Sc1 Re1 O6'
_space_group_name_H-M_alt 'P 1'
_space_group_IT_number 1
_space_group_name_Hall 'P 1'
_cell_length_a 5.071
_cell_length_b 5.476
_cell_length_c 5.477
_cell_angle_alpha 119.61
_cell_angle_beta 93.09
_cell_angle_gamma 93.09
loop_
_atom_site_label
_atom_site_fract_x
_atom_site_fract_y
_atom_site_fract_z
Na1 0.000 0.000 0.000
Sc1 0.499 0.687 0.315
Re1 0.500 0.323 0.679
O1 0.277 0.353 0.944
O2 0.286 0.017 0.376
O3 0.311 0.577 0.589
O4 0.688 0.413 0.425
O5 0.713 0.626 0.985
O6 0.722 0.058 0.649
# Uncorrected formation energy in eV per atom: -1.93
# Crystal system: triclinic
# Total moment in μB/f.u.: 1.02